The following is a PBE calculation of Er2AlPt after structural relaxation, from Alexandria.

Properties
Calculated density in Mg/m³: 10.57
ΔE_f in eV/atom: -0.77
Energy above the most stable polymorph in this dataset in kJ/mol of formula units: 38
V in Å³ per atom: 21.86
SG: Fm-3m (225)

Unit cell a=4.9821 b=4.9821 c=4.9821 alpha=60.00 beta=60.00 gamma=60.00
Last column: nearest neighbours and their distance in Å.
Fractional coordinates of all 4 atoms:
Er  0.7500  0.7500  0.7500  4 Pt 3.05, 4 Al 3.05
Er  0.2500  0.2500  0.2500  4 Al 3.05, 4 Pt 3.05
Pt  0.5000  0.5000  0.5000  8 Er 3.05
Al  0.0000  0.0000  0.0000  8 Er 3.05



The following is a PBE calculation of HfTcAs2Br after structural relaxation, from Alexandria.

Properties
Calculated density in Mg/m³: 7.29
Energy above the most stable polymorph in this dataset in kJ/mol of formula units: 0
V in Å³ per atom: 23.06
SG: P4/mmm (123)
Raw formation energy in eV/atom: 0.6472

Unit cell a=4.7544 b=4.7544 c=5.0998 alpha=90.00 beta=90.00 gamma=90.00
Last column: nearest neighbours and their distance in Å.
Fractional coordinates of all 5 atoms:
Hf  0.5000  0.5000  0.5000  4 Br 3.36, 8 As 3.49
As  0.5000  0.0000  0.0000  2 Tc 2.38
Tc  0.0000  0.0000  0.0000  4 As 2.38, 2 Br 2.55
Br  0.0000  0.0000  0.5000  2 Tc 2.55
As  0.0000  0.5000  0.0000  2 Tc 2.38



The following is a PBE calculation of MnHgBr2 after structural relaxation, from Alexandria.

Properties
Calculated density in Mg/m³: 6.33
Energy above the most stable polymorph in this dataset in kJ/mol of formula units: 263
V in Å³ per atom: 27.22
SG: Pmmm (47)
Raw formation energy in eV/atom: 0.1134

Unit cell a=4.2461 b=6.2797 c=4.0831 alpha=90.00 beta=90.00 gamma=90.00
Last column: nearest neighbours and their distance in Å.
Fractional coordinates of all 4 atoms:
Br  0.0000  0.0000  0.0000  4 Hg 2.95
Br  0.5000  0.5000  0.0000  4 Mn 2.95
Hg  0.5000  0.0000  0.5000  4 Br 2.95
Mn  0.0000  0.5000  0.5000  4 Br 2.95



The following is a PBE calculation of RuBrN3 after structural relaxation, from Alexandria.

Properties
Calculated density in Mg/m³: 6.67
V in Å³ per atom: 11.10
SG: Pm-3m (221)
Raw formation energy in eV/atom: 2.9629

Unit cell a=3.8143 b=3.8143 c=3.8143 alpha=90.00 beta=90.00 gamma=90.00
Last column: nearest neighbours and their distance in Å.
Fractional coordinates of all 5 atoms:
N  0.0000  0.5000  0.0000  2 Br 1.91
Br  0.0000  0.0000  0.0000  6 N 1.91
Ru  0.5000  0.5000  0.5000  12 N 2.70
N  0.5000  0.0000  0.0000  2 Br 1.91
N  0.0000  0.0000  0.5000  2 Br 1.91



The following is a PBE calculation of AcPuAgRh after structural relaxation, from Alexandria.

Properties
Calculated density in Mg/m³: 11.25
ΔE_f in eV/atom: -0.20
V in Å³ per atom: 25.16
SG: F-43m (216)

Unit cell a=5.2208 b=5.2208 c=5.2208 alpha=60.00 beta=60.00 gamma=60.00
Last column: nearest neighbours and their distance in Å.
Fractional coordinates of all 4 atoms:
Ac  0.0000  0.0000  0.0000  4 Ag 3.20, 4 Rh 3.20
Ag  0.7500  0.7500  0.7500  4 Ac 3.20, 4 Pu 3.20
Pu  0.5000  0.5000  0.5000  4 Rh 3.20, 4 Ag 3.20
Rh  0.2500  0.2500  0.2500  4 Ac 3.20, 4 Pu 3.20



The following is a PBE calculation of Ba2InGa after structural relaxation, from Alexandria.

Properties
Calculated density in Mg/m³: 5.18
ΔE_f in eV/atom: -0.34
Energy above the most stable polymorph in this dataset in kJ/mol of formula units: 1
V in Å³ per atom: 36.82
SG: P4/mmm (123)

Unit cell a=4.1774 b=4.1774 c=8.4402 alpha=90.00 beta=90.00 gamma=90.00
Last column: nearest neighbours and their distance in Å.
Fractional coordinates of all 4 atoms:
Ba  0.0000  0.0000  0.7634  4 Ga 3.57, 4 In 3.70
Ga  0.5000  0.5000  0.0000  8 Ba 3.57
Ba  0.0000  0.0000  0.2366  4 Ga 3.57, 4 In 3.70
In  0.5000  0.5000  0.5000  8 Ba 3.70



The following is a PBE calculation of Li5Zn3Br12 after structural relaxation, from Alexandria.

Properties
Calculated density in Mg/m³: 3.37
V in Å³ per atom: 29.28
SG: Ia-3d (230)
Raw formation energy in eV/atom: -0.9898

Unit cell a=14.4910 b=14.4910 c=14.4910 alpha=109.47 beta=109.47 gamma=109.47
Last column: nearest neighbours and their distance in Å.
Fractional coordinates of all 80 atoms:
Br  0.8616  0.8129  0.9849  1 Zn 2.47, 1 Li 2.67
Br  0.0151  0.3280  0.3767  1 Zn 2.47, 1 Li 2.67
Br  0.1233  0.6384  0.9513  1 Zn 2.47, 1 Li 2.67
Li  0.1250  0.7500  0.3750  4 Br 2.90
Zn  0.3750  0.6250  0.2500  4 Br 2.47
Br  0.0151  0.6871  0.1384  1 Zn 2.47, 1 Li 2.67
Br  0.3767  0.8280  0.0151  1 Zn 2.47, 1 Li 2.67
Li  0.7500  0.1250  0.8750  4 Br 2.90
Li  0.5000  0.5000  0.5000  6 Br 2.67
Li  0.0000  0.0000  0.0000  6 Br 2.67
Br  0.3616  0.4849  0.3129  1 Zn 2.47, 1 Li 2.67
Br  0.3129  0.3280  0.4513  1 Zn 2.47, 1 Li 2.67
Br  0.6233  0.4513  0.1384  1 Zn 2.47, 1 Li 2.67
Zn  0.7500  0.3750  0.1250  4 Br 2.47
Br  0.1871  0.1384  0.5151  1 Zn 2.47, 1 Li 2.67
Br  0.1384  0.1871  0.0151  1 Zn 2.47, 1 Li 2.67
Br  0.3280  0.0151  0.8767  1 Zn 2.47, 1 Li 2.67
Zn  0.3750  0.7500  0.6250  4 Br 2.47
Li  0.1250  0.3750  0.2500  4 Br 2.90
Br  0.1720  0.5487  0.1871  1 Zn 2.47, 1 Li 2.67
Br  0.9513  0.8129  0.3280  1 Zn 2.47, 1 Li 2.67
Br  0.9513  0.1384  0.1233  1 Zn 2.47, 1 Li 2.67
Zn  0.6250  0.2500  0.3750  4 Br 2.47
Zn  0.7500  0.8750  0.6250  4 Br 2.47
Br  0.8280  0.3767  0.5151  1 Zn 2.47, 1 Li 2.67
Br  0.6384  0.5151  0.6871  1 Zn 2.47, 1 Li 2.67
Br  0.6384  0.1233  0.4513  1 Zn 2.47, 1 Li 2.67
Br  0.4513  0.6233  0.6384  1 Zn 2.47, 1 Li 2.67
Br  0.8767  0.5151  0.3280  1 Zn 2.47, 1 Li 2.67
Br  0.5487  0.1720  0.6871  1 Zn 2.47, 1 Li 2.67
Br  0.3616  0.8767  0.5487  1 Zn 2.47, 1 Li 2.67
Li  0.5000  0.0000  0.0000  6 Br 2.67
Br  0.1384  0.9513  0.6233  1 Zn 2.47, 1 Li 2.67
Br  0.8280  0.4513  0.8129  1 Zn 2.47, 1 Li 2.67
Li  0.5000  0.5000  0.0000  6 Br 2.67
Br  0.9849  0.3129  0.8616  1 Zn 2.47, 1 Li 2.67
Br  0.4513  0.8280  0.3129  1 Zn 2.47, 1 Li 2.67
Zn  0.2500  0.1250  0.3750  4 Br 2.47
Li  0.5000  0.0000  0.5000  6 Br 2.67
Br  0.0487  0.8616  0.8767  1 Zn 2.47, 1 Li 2.67
Li  0.2500  0.8750  0.1250  4 Br 2.90
Br  0.3129  0.9849  0.3616  1 Zn 2.47, 1 Li 2.67
Li  0.0000  0.0000  0.5000  6 Br 2.67
Br  0.5151  0.6384  0.1871  1 Zn 2.47, 1 Li 2.67
Br  0.4849  0.3616  0.8129  1 Zn 2.47, 1 Li 2.67
Br  0.8129  0.8616  0.4849  1 Zn 2.47, 1 Li 2.67
Br  0.6871  0.6720  0.5487  1 Zn 2.47, 1 Li 2.67
Br  0.5487  0.3767  0.3616  1 Zn 2.47, 1 Li 2.67
Br  0.5151  0.8767  0.8280  1 Zn 2.47, 1 Li 2.67
Br  0.6233  0.1720  0.9849  1 Zn 2.47, 1 Li 2.67
Zn  0.8750  0.7500  0.1250  4 Br 2.47
Br  0.8129  0.9513  0.8280  1 Zn 2.47, 1 Li 2.67
Li  0.3750  0.2500  0.1250  4 Br 2.90
Br  0.6720  0.6871  0.0487  1 Zn 2.47, 1 Li 2.67
Li  0.7500  0.6250  0.3750  4 Br 2.90
Br  0.8616  0.0487  0.3767  1 Zn 2.47, 1 Li 2.67
Br  0.4849  0.1233  0.1720  1 Zn 2.47, 1 Li 2.67
Li  0.2500  0.3750  0.6250  4 Br 2.90
Li  0.0000  0.5000  0.0000  6 Br 2.67
Zn  0.1250  0.2500  0.8750  4 Br 2.47
Li  0.6250  0.7500  0.8750  4 Br 2.90
Br  0.3280  0.3129  0.9513  1 Zn 2.47, 1 Li 2.67
Zn  0.1250  0.8750  0.7500  4 Br 2.47
Br  0.9849  0.6720  0.6233  1 Zn 2.47, 1 Li 2.67
Br  0.1233  0.4849  0.6720  1 Zn 2.47, 1 Li 2.67
Br  0.1871  0.0487  0.1720  1 Zn 2.47, 1 Li 2.67
Zn  0.2500  0.6250  0.8750  4 Br 2.47
Br  0.6720  0.9849  0.1233  1 Zn 2.47, 1 Li 2.67
Zn  0.8750  0.1250  0.2500  4 Br 2.47
Br  0.3767  0.5487  0.8616  1 Zn 2.47, 1 Li 2.67
Li  0.8750  0.6250  0.7500  4 Br 2.90
Li  0.0000  0.5000  0.5000  6 Br 2.67
Zn  0.6250  0.3750  0.7500  4 Br 2.47
Br  0.6871  0.0151  0.6384  1 Zn 2.47, 1 Li 2.67
Br  0.8767  0.3616  0.0487  1 Zn 2.47, 1 Li 2.67
Li  0.8750  0.2500  0.6250  4 Br 2.90
Br  0.1720  0.6233  0.4849  1 Zn 2.47, 1 Li 2.67
Li  0.6250  0.8750  0.2500  4 Br 2.90
Br  0.0487  0.1871  0.6720  1 Zn 2.47, 1 Li 2.67
Li  0.3750  0.1250  0.7500  4 Br 2.90



The following is a PBE calculation of Hg2GePb2 after structural relaxation, from Alexandria.

Properties
Calculated density in Mg/m³: 10.01
ΔE_f in eV/atom: 0.20
Energy above the most stable polymorph in this dataset in kJ/mol of formula units: 23
V in Å³ per atom: 29.47
SG: P4/mbm (127)

Unit cell a=7.6693 b=7.6693 c=5.0106 alpha=90.00 beta=90.00 gamma=90.00
Last column: nearest neighbours and their distance in Å.
Fractional coordinates of all 10 atoms:
Hg  0.8403  0.3403  0.5000  6 Pb 3.23-3.46, 1 Hg 3.46
Pb  0.3483  0.8483  0.0000  2 Ge 2.91, 2 Hg 3.23
Hg  0.3403  0.1597  0.5000  6 Pb 3.23-3.46, 1 Hg 3.46
Ge  0.5000  0.5000  0.0000  4 Pb 2.91
Pb  0.1517  0.3483  0.0000  2 Ge 2.91, 2 Hg 3.23
Pb  0.6517  0.1517  0.0000  2 Ge 2.91, 2 Hg 3.23
Pb  0.8483  0.6517  0.0000  2 Ge 2.91, 2 Hg 3.23
Ge  0.0000  0.0000  0.0000  4 Pb 2.91
Hg  0.1597  0.6597  0.5000  6 Pb 3.23-3.46, 1 Hg 3.46
Hg  0.6597  0.8403  0.5000  6 Pb 3.23-3.46, 1 Hg 3.46



The following is a PBE calculation of Cs6Rb3Ag2 after structural relaxation, from Alexandria.

Properties
Calculated density in Mg/m³: 2.27
ΔE_f in eV/atom: 0.09
V in Å³ per atom: 84.39
SG: I4/mmm (139)

Unit cell a=7.3757 b=7.3757 c=17.8430 alpha=101.93 beta=101.93 gamma=90.00
Last column: nearest neighbours and their distance in Å.
Fractional coordinates of all 11 atoms:
Cs  0.4244  0.9244  0.8487  2 Ag 3.87
Rb  0.0000  0.0000  0.0000  8 Cs 4.50
Cs  0.9244  0.4244  0.8487  2 Ag 3.87
Cs  0.6715  0.6715  0.3430  1 Ag 4.43, 1 Rb 4.80, 4 Cs 4.93
Cs  0.3285  0.3285  0.6570  1 Ag 4.43, 1 Rb 4.80, 4 Cs 4.93
Cs  0.0756  0.5756  0.1513  2 Ag 3.87
Cs  0.5756  0.0756  0.1513  2 Ag 3.87
Rb  0.8122  0.8122  0.6245  9 Cs 4.80-5.31
Rb  0.1878  0.1878  0.3755  9 Cs 4.80-5.31
Ag  0.5416  0.5416  0.0832  1 Ag 2.84
Ag  0.4584  0.4584  0.9168  1 Ag 2.84



The following is a PBE calculation of SiAu2O after structural relaxation, from Alexandria.

Properties
Calculated density in Mg/m³: 12.39
Energy above the most stable polymorph in this dataset in kJ/mol of formula units: 80
V in Å³ per atom: 14.68
SG: Fm-3m (225)
Raw formation energy in eV/atom: 0.3232

Unit cell a=4.3624 b=4.3624 c=4.3624 alpha=60.00 beta=60.00 gamma=60.00
Last column: nearest neighbours and their distance in Å.
Fractional coordinates of all 4 atoms:
Si  0.5000  0.5000  0.5000  8 Au 2.67
Au  0.7500  0.7500  0.7500  4 O 2.67, 4 Si 2.67
O  0.0000  0.0000  0.0000  8 Au 2.67
Au  0.2500  0.2500  0.2500  4 O 2.67, 4 Si 2.67